[1]
VASP calculation (PBE-GGA) on a relaxed NaNd2PaSe5 crystal.

Results
- V (Å³/atom) = 31.86
- formation energy (no corrections) (eV per atom) = -1.420
- uncorrected energy (eV for the cell shown) = -50.56

Structure (extended XYZ):
```
9
Lattice="-2.650 3.716 7.280 2.650 -3.716 7.280 2.650 3.716 -7.280" Properties=species:S:1:pos:R:3 pbc="T T T"
Na 0.000 0.000 0.000
Nd 2.650 0.000 4.347
Nd 0.000 3.716 2.932
Pa 0.000 0.000 7.280
Se 2.650 1.909 -2.163
Se 2.650 1.909 2.163
Se 0.000 3.716 0.000
Se 0.000 1.807 5.116
Se 0.000 1.807 9.443
```

---

[2]
VASP calculation (PBE-GGA) on a relaxed La2SmDy3Er6 crystal.

Results
- V (Å³/atom) = 31.98
- uncorrected energy (eV for the cell shown) = -55.48

Structure (extended XYZ):
```
12
Lattice="3.094 -5.357 0.000 3.094 5.357 0.000 -2.057 0.000 11.577" Properties=species:S:1:pos:R:3 pbc="T T T"
La 3.094 3.570 0.000
La 3.094 -3.570 0.000
Sm 3.094 0.000 0.000
Dy -1.029 0.000 5.789
Dy 2.066 1.784 5.789
Dy 2.066 -1.784 5.789
Er 0.003 1.782 8.628
Er 1.041 0.000 2.948
Er 0.003 -1.782 8.628
Er 4.129 1.782 2.949
Er 3.090 0.000 8.629
Er 4.129 -1.782 2.949
```

---

[3]
VASP calculation (PBE-GGA) on a relaxed CaPm6PrDy2 crystal.

Results
- V (Å³/atom) = 34.98
- uncorrected energy (eV for the cell shown) = -86.32

Structure (extended XYZ):
```
20
Lattice="4.613 -7.736 0.000 4.613 7.736 0.000 -1.379 0.000 9.803" Properties=species:S:1:pos:R:3 pbc="T T T"
Ca 3.579 6.229 7.352
Ca 4.268 -6.229 2.451
Pm 3.151 6.077 3.709
Pm 2.495 3.568 1.728
Pm 5.385 6.077 1.193
Pm 3.263 2.746 5.410
Pm 3.895 2.746 9.295
Pm 6.042 3.568 3.174
Pm 1.806 -3.568 6.629
Pm 3.952 -2.746 0.508
Pm 4.584 -2.746 4.393
Pm 2.462 -6.077 8.610
Pm 5.352 -3.568 8.075
Pm 4.696 -6.077 6.094
Pr 4.268 0.407 2.451
Pr 3.579 -0.407 7.352
Dy 0.991 0.791 9.367
Dy 1.680 -0.791 4.465
Dy 6.167 0.791 5.338
Dy 6.856 -0.791 0.436
```

---

[4]
VASP calculation (PBE-GGA) on a relaxed ZrNi2P crystal.

Results
- V (Å³/atom) = 14.47
- uncorrected energy (eV for the cell shown) = -27.11

Structure (extended XYZ):
```
4
Lattice="3.341 0.000 0.000 0.000 3.341 0.000 0.000 0.000 5.185" Properties=species:S:1:pos:R:3 pbc="T T T"
Zr 0.000 0.000 0.000
Ni 1.671 1.671 1.358
Ni 1.671 1.671 3.827
P 0.000 0.000 2.593
```

---

Question: The lowest V belongs to which entry?
Answer: ZrNi2P